# Li2Co | Alexandria via LeMat-Bulk | PBEsol | relaxed
# N(E_F) in states/eV/f.u.: 2.68
# Energy in Ry/atom: -0.2627
# Formation energy from the elements in eV/atom: 0.3155
data_Li2Co
_chemical_formula_sum 'Li8 Co4'
_cell_length_a 6.277
_cell_length_b 6.277
_cell_length_c 4.267
_cell_angle_alpha 90.00
_cell_angle_beta 90.00
_cell_angle_gamma 90.00
_space_group_name_H-M_alt 'I 4/m c m'
_space_group_IT_number 140
_space_group_name_Hall '-I 4 2c'
loop_
_atom_site_label
_atom_site_type_symbol
_atom_site_fract_x
_atom_site_fract_y
_atom_site_fract_z
Li1 Li 0.167 0.333 0.000
Co1 Co 0.000 0.000 0.250

***

# Cs2MnTe2S6 | Alexandria via LeMat-Bulk | PBEsol | relaxed
# Energy in Ry/atom: -0.3368
# Energy relative to the elements, uncorrected in meV/atom: -492
data_Cs2MnTe2S6
_chemical_formula_sum 'Cs4 Mn2 Te4 S12'
_cell_length_a 6.8003
_cell_length_b 6.8003
_cell_length_c 15.9190
_cell_angle_alpha 90.00
_cell_angle_beta 90.00
_cell_angle_gamma 120.00
_space_group_name_H-M_alt 'P -3 c 1'
_space_group_IT_number 165
_space_group_name_Hall '-P 3 2"c'
loop_
_atom_site_label
_atom_site_type_symbol
_atom_site_fract_x
_atom_site_fract_y
_atom_site_fract_z
Cs1 Cs 0.3333 0.6667 0.2244
Mn1 Mn 0.0000 0.0000 0.0000
Te1 Te 0.3333 0.6667 0.4789
S1 S 0.0643 0.3274 0.4057